Entry 1:
VASP calculation (GGA-PBE) on a geometry-optimized LuThSc2 structure.

Lattice parameters (Å, degrees): 4.537 4.928 4.928 90.00 90.00 90.00
Atoms (fractional coordinates):
Th (0.500, 0.500, 0.500)
Sc (0.000, 0.500, 0.000)
Sc (0.000, 0.000, 0.500)
Lu (0.500, 0.000, 0.000)

Summary:
* energy relative to the elements: 0.03 eV per atom
* M_tot: 0.0 μB per formula unit
* offset from the most stable computed form: 0.0 meV/atom

***

Entry 2:
VASP calculation (GGA-PBE) on a geometry-optimized LuTh2Sc structure.

Lattice parameters (Å, degrees): 3.523 3.523 9.547 90.00 90.00 90.00
Atoms (fractional coordinates):
Sc (0.500, 0.500, 0.000)
Lu (0.500, 0.500, 0.500)
Th (0.000, 0.000, 0.241)
Th (0.000, 0.000, 0.759)

Summary:
* energy relative to the elements: 0.03 eV per atom
* M_tot: 0.0 μB per formula unit

***

Entry 3:
VASP calculation (GGA-PBE) on a geometry-optimized LuThSc structure.

Lattice parameters (Å, degrees): 3.480 3.480 7.561 103.30 103.30 90.00
Atoms (fractional coordinates):
Lu (0.000, 0.000, 0.001)
Sc (0.669, 0.669, 0.339)
Th (0.330, 0.330, 0.660)

Summary:
* energy relative to the elements: 0.03 eV per atom
* M_tot: 0.0 μB per formula unit
* offset from the most stable computed form: 0.0 meV/atom

***

Question: What is the M_tot in the second record?
Answer: 0.0 μB per formula unit